Mn2HPdRh | Alexandria via LeMat-Bulk | PBE | optimized geometry; uncorrected energy = -6.692 eV/atom; volume = 53 Å³/cell; space-group type = No. 123
1.0
3.734 0.000 0.000
0.000 3.734 0.000
0.000 0.000 3.817
Mn H Pd Rh
2 1 1 1
direct
0.000 0.500 0.000 Mn
0.500 0.000 0.000 Mn
0.000 0.000 0.000 H
0.500 0.500 0.500 Pd
0.000 0.000 0.500 Rh